[1]
AcGa3AgPt: relaxed, PBE-GGA.

Values from the calculation:
As for the total energy: -4.035 eV per atom. As for the formation energy: -0.36 eV per atom.

Cell: 6.8022 6.4124 7.2355 Å, 116.30 90.00 90.00°
Element x y z (fractional)
Pt: 0.7500 0.9987 0.9975
Pt: 0.2500 0.0013 0.0025
Ga: 0.2500 0.1879 0.3758
Ga: 0.0000 0.2893 0.0000
Ac: 0.7500 0.2378 0.4756
Ga: 0.5000 0.2893 0.0000
Ga: 0.0000 0.7107 0.0000
Ag: 0.7500 0.6207 0.2415
Ag: 0.2500 0.3793 0.7585
Ga: 0.5000 0.7107 0.0000
Ac: 0.2500 0.7622 0.5244
Ga: 0.7500 0.8121 0.6242



[2]
Na4Er3ScS8: relaxed, PBE-GGA.

Values from the calculation:
As for the total energy: -5.466 eV per atom. Its uncorrected formation energy is -1.8215 eV per atom.

Cell: 7.8120 8.0488 7.8129 Å, 119.06 120.00 90.00°
Element x y z (fractional)
Er: 0.5000 0.5000 0.5000
S: 0.2504 0.2787 0.0144
S: 0.2360 0.7213 0.9856
Na: 0.0000 0.0000 0.0000
S: 0.2361 0.7214 0.4721
S: 0.7496 0.7213 0.9856
S: 0.7639 0.2786 0.5279
Na: 0.5000 0.0000 0.5000
Sc: 0.0000 0.5000 0.0000
Na: 0.5000 0.0000 0.0000
Na: 0.0000 0.0000 0.5000
Er: 0.0000 0.5000 0.5000
S: 0.7640 0.2787 0.0144
S: 0.2577 0.2735 0.5155
S: 0.7423 0.7265 0.4845
Er: 0.5000 0.5000 0.0000



[3]
La2Zn4Ge3Au: relaxed, PBE-GGA.

Values from the calculation:
As for the total energy: -3.723 eV per atom. As for the formation energy: -0.51 eV per atom.

Cell: 4.3472 4.3472 10.6806 Å, 90.00 90.00 90.00°
Element x y z (fractional)
La: 0.5000 0.0000 0.2490
Zn: 0.0000 0.5000 0.3669
Zn: 0.5000 0.0000 0.6331
La: 0.0000 0.5000 0.7510
Ge: 0.5000 0.0000 0.8641
Au: 0.5000 0.5000 0.5000
Zn: 0.5000 0.5000 0.0000
Zn: 0.0000 0.0000 0.0000
Ge: 0.0000 0.0000 0.5000
Ge: 0.0000 0.5000 0.1359



[4]
Tb2DyHo5: relaxed, PBE-GGA.

Values from the calculation:
As for the total energy: -4.437 eV per atom. As for the formation energy: 0.16 eV per atom. The excess energy over the best structure of this formula in the dataset comes out at 141 meV per atom.

Cell: 6.5842 8.7988 11.0876 Å, 100.93 58.30 112.66°
Element x y z (fractional)
Ho: 0.0996 0.0070 0.0958
Ho: 0.8915 0.0153 0.4154
Ho: 0.5822 0.1792 0.2460
Ho: 0.5780 0.2499 0.6170
Ho: 0.9004 0.9930 0.9042
Tb: 0.1880 0.3861 0.5755
Ho: 0.3396 0.7515 0.1078
Dy: 0.8228 0.6232 0.7471
Tb: 0.7974 0.6049 0.0748
Ho: 0.6604 0.2485 0.8922
Tb: 0.2026 0.3951 0.9252
Ho: 0.1085 0.9847 0.5846
Ho: 0.4178 0.8208 0.7540
Ho: 0.4220 0.7501 0.3830
Tb: 0.8120 0.6139 0.4245
Dy: 0.1772 0.3768 0.2529



[5]
MnCu2As: relaxed, PBE-GGA.

Values from the calculation:
As for the total energy: -5.406 eV per atom. As for the formation energy: 0.10 eV per atom.

Cell: 5.0093 5.0093 4.0895 Å, 90.02 90.02 32.88°
Each line ends with the local moment (μB).
Element x y z (fractional)
Mn: 0.4519 0.4519 0.3748  3.37
As: 0.1931 0.1931 0.3751  -0.01
Cu: 0.8008 0.8008 0.8752  0.03
Cu: 0.0543 0.0543 0.8749  0.05



[6]
Ce6Sn2Hg: relaxed, PBE-GGA.

Values from the calculation:
As for the total energy: -5.155 eV per atom. As for the formation energy: -0.28 eV per atom.

Cell: 3.1701 9.0627 9.0627 Å, 120.00 90.00 90.00°
Each line ends with the local moment (μB).
Element x y z (fractional)
Sn: 0.0000 0.6667 0.3333  -0.02
Sn: 0.0000 0.3333 0.6667  -0.02
Ce: 0.5000 0.6697 0.6697  0.55
Ce: 0.5000 0.6697 0.0000  0.55
Ce: 0.5000 0.3303 0.0000  0.55
Ce: 0.5000 0.3303 0.3303  0.55
Ce: 0.5000 0.0000 0.6697  0.55
Ce: 0.5000 0.0000 0.3303  0.55
Hg: 0.0000 0.0000 0.0000  -0.01



[7]
Pm4Sb2Ir: relaxed, PBE-GGA.

Values from the calculation:
As for the total energy: -5.886 eV per atom. Its uncorrected formation energy is -0.7278 eV per atom. The excess energy over the best structure of this formula in the dataset comes out at 0 meV per atom.

Cell: 4.3666 7.4891 8.3251 Å, 117.36 105.20 90.00°
Element x y z (fractional)
Sb: 0.7316 0.7316 0.4633
Pm: 0.6168 0.2522 0.2336
Sb: 0.2684 0.2684 0.5367
Ir: 0.0000 0.0000 0.0000
Pm: 0.3832 0.7478 0.7664
Pm: 0.1156 0.8080 0.2311
Pm: 0.8844 0.1920 0.7689



[8]
RbTl2Ge: relaxed, PBE-GGA.

Values from the calculation:
As for the total energy: -2.547 eV per atom. As for the formation energy: 0.03 eV per atom. The excess energy over the best structure of this formula in the dataset comes out at 31 meV per atom.

Cell: 3.8593 3.8593 8.5649 Å, 90.00 90.00 90.00°
Element x y z (fractional)
Ge: 0.5000 0.5000 0.0000
Tl: 0.0000 0.0000 0.1912
Rb: 0.5000 0.5000 0.5000
Tl: 0.0000 0.0000 0.8088



[9]
RbTi4I7: relaxed, PBE-GGA.

Values from the calculation:
As for the total energy: -4.191 eV per atom. Its uncorrected formation energy is -0.5747 eV per atom.

Cell: 5.1834 7.7065 21.5698 Å, 90.00 90.00 90.00°
Each line ends with the local moment (μB).
Element x y z (fractional)
Rb: 0.5129 0.8415 0.5000  0.00
I: 0.5129 0.2516 0.3692  -0.01
I: 0.0129 0.7484 0.8692  -0.01
Ti: 0.5130 0.8907 0.8576  1.05
I: 0.5129 0.2516 0.6308  -0.01
I: 0.0128 0.2693 0.7576  -0.01
Ti: 0.5129 0.0978 0.2478  -0.20
Ti: 0.5130 0.8907 0.1424  1.05
I: 0.5129 0.2434 0.8796  0.01
Ti: 0.0129 0.9022 0.7478  -0.20
I: 0.5129 0.2434 0.1204  0.01
I: 0.0129 0.7566 0.3796  0.01
I: 0.5128 0.7307 0.2576  -0.01
I: 0.5129 0.8226 0.0000  -0.01
I: 0.5128 0.7307 0.7424  -0.01
I: 0.0129 0.7566 0.6204  0.01
Ti: 0.0129 0.9022 0.2522  -0.20
I: 0.0129 0.7484 0.1308  -0.01
Ti: 0.0130 0.1093 0.6424  1.05
I: 0.0128 0.2693 0.2424  -0.01
Ti: 0.5129 0.0978 0.7522  -0.20
I: 0.0129 0.1774 0.5000  -0.01
Rb: 0.0129 0.1585 0.0000  0.00
Ti: 0.0130 0.1093 0.3576  1.05



[10]
Ce2NdGe2Pt7: relaxed, PBE-GGA.

Values from the calculation:
As for the total energy: -6.579 eV per atom. As for the formation energy: -0.90 eV per atom.

Cell: 4.1408 4.1408 14.1807 Å, 83.86 83.86 88.87°
Each line ends with the local moment (μB).
Element x y z (fractional)
Pt: 0.6250 0.6250 0.5703  -0.02
Pt: 0.4424 0.9410 0.1578  0.02
Pt: 0.5000 0.5000 0.0000  0.00
Pt: 0.5576 0.0590 0.8422  0.02
Nd: 0.0000 0.0000 0.0000  0.00
Ge: 0.5945 0.5945 0.7448  0.00
Pt: 0.3750 0.3750 0.4297  -0.02
Pt: 0.0590 0.5576 0.8422  0.02
Ce: 0.8839 0.8839 0.3588  0.74
Pt: 0.9410 0.4424 0.1578  0.02
Ge: 0.4055 0.4055 0.2552  0.00
Ce: 0.1161 0.1161 0.6412  0.74



[11]
ThSc2H: relaxed, PBE-GGA.

Values from the calculation:
As for the total energy: -6.031 eV per atom. The excess energy over the best structure of this formula in the dataset comes out at 0 meV per atom.

Cell: 3.4055 3.4055 8.2413 Å, 78.08 78.08 60.00°
Element x y z (fractional)
Sc: 0.2814 0.2814 0.1558
Th: 0.5000 0.5000 0.5000
Sc: 0.7186 0.7186 0.8442
H: 0.0000 0.0000 0.0000



[12]
Tb9Ho2Sc: relaxed, PBE-GGA.

Values from the calculation:
As for the total energy: -4.736 eV per atom. As for the formation energy: 0.03 eV per atom.

Cell: 4.9980 4.9980 14.9481 Å, 90.00 90.00 90.00°
Element x y z (fractional)
Ho: 0.0000 0.0000 0.6685
Tb: 0.5000 0.5000 0.6690
Tb: 0.5000 0.0000 0.8375
Tb: 0.0000 0.5000 0.8375
Tb: 0.0000 0.5000 0.5000
Tb: 0.5000 0.0000 0.5000
Tb: 0.0000 0.5000 0.1625
Tb: 0.5000 0.5000 0.3310
Ho: 0.0000 0.0000 0.3315
Sc: 0.0000 0.0000 0.0000
Tb: 0.5000 0.5000 0.0000
Tb: 0.5000 0.0000 0.1625